(1)
In3Co after structural relaxation, computed with GGA-PBE.

Results
Energy of formation from the pure elements = 427 meV per atom

Geometry as CIF:
```
data_In3Co
_chemical_formula_sum 'In9 Co3'
_space_group_name_H-M_alt 'R -3 m'
_space_group_IT_number 166
_space_group_name_Hall '-R 3 2"'
_cell_length_a 9.3635
_cell_length_b 9.3635
_cell_length_c 3.3997
_cell_angle_alpha 90.00
_cell_angle_beta 90.00
_cell_angle_gamma 120.00
loop_
_atom_site_label
_atom_site_fract_x
_atom_site_fract_y
_atom_site_fract_z
_atom_site_occupancy
In1 0.0000 0.5000 0.0000 1
Co1 0.0000 0.0000 0.0000 1
```

=====

(2)
In4Co after structural relaxation, computed with GGA-PBE.

Results
Relative energy among the computed polymorphs = 0.018 eV/f.u.
Energy of formation from the pure elements = 61 meV per atom

Geometry as CIF:
```
data_In4Co
_chemical_formula_sum 'In4 Co1'
_space_group_name_H-M_alt 'P m -3 m'
_space_group_IT_number 221
_space_group_name_Hall '-P 4 2 3'
_cell_length_a 4.996
_cell_length_b 4.996
_cell_length_c 4.996
_cell_angle_alpha 90.00
_cell_angle_beta 90.00
_cell_angle_gamma 90.00
loop_
_atom_site_label
_atom_site_fract_x
_atom_site_fract_y
_atom_site_fract_z
_atom_site_occupancy
In1 0.000 0.000 0.000 1
In2 0.000 0.500 0.500 1
Co1 0.500 0.500 0.500 1
```

=====

(3)
InCo6 after structural relaxation, computed with GGA-PBE.

Results
Energy of formation from the pure elements = 959 meV per atom

Geometry as CIF:
```
data_InCo6
_chemical_formula_sum 'In2 Co12'
_space_group_name_H-M_alt 'I m -3 m'
_space_group_IT_number 229
_space_group_name_Hall '-I 4 2 3'
_cell_length_a 6.009
_cell_length_b 6.009
_cell_length_c 6.009
_cell_angle_alpha 90.00
_cell_angle_beta 90.00
_cell_angle_gamma 90.00
loop_
_atom_site_label
_atom_site_fract_x
_atom_site_fract_y
_atom_site_fract_z
_atom_site_occupancy
In1 0.000 0.000 0.000 1
Co1 0.000 0.250 0.500 1
```

=====

(4)
InCo after structural relaxation, computed with GGA-PBE.

Results
Energy of formation from the pure elements = 185 meV per atom

Geometry as CIF:
```
data_InCo
_chemical_formula_sum 'In6 Co6'
_space_group_name_H-M_alt 'A m m 2'
_space_group_IT_number 38
_cell_length_a 2.918
_cell_length_b 11.699
_cell_length_c 6.108
_cell_angle_alpha 90.00
_cell_angle_beta 90.00
_cell_angle_gamma 90.00
loop_
_space_group_symop_operation_xyz
'x,y,z'
'-x,-y,z'
'-x,y,z'
'x,-y,z'
'x,y+1/2,z+1/2'
'-x,-y+1/2,z+1/2'
'-x,y+1/2,z+1/2'
'x,-y+1/2,z+1/2'
loop_
_atom_site_label
_atom_site_fract_x
_atom_site_fract_y
_atom_site_fract_z
_atom_site_occupancy
In1 0.000 0.000 0.000 1
In2 0.000 0.226 0.623 1
Co1 0.000 0.000 0.557 1
Co2 0.500 0.109 0.325 1
```

=====

(5)
InCo2 after structural relaxation, computed with GGA-PBE.

Results
Energy of formation from the pure elements = 185 meV per atom

Geometry as CIF:
```
data_InCo2
_chemical_formula_sum 'In2 Co4'
_space_group_name_H-M_alt 'I 4/m m m'
_space_group_IT_number 139
_space_group_name_Hall '-I 4 2'
_cell_length_a 3.036
_cell_length_b 3.036
_cell_length_c 9.232
_cell_angle_alpha 90.00
_cell_angle_beta 90.00
_cell_angle_gamma 90.00
loop_
_atom_site_label
_atom_site_fract_x
_atom_site_fract_y
_atom_site_fract_z
_atom_site_occupancy
In1 0.000 0.000 0.000 1
Co1 0.000 0.000 0.314 1
```

=====

(6)
InCo7 after structural relaxation, computed with GGA-PBE.

Results
Energy of formation from the pure elements = 191 meV per atom

Geometry as CIF:
```
data_InCo7
_chemical_formula_sum 'In4 Co28'
_space_group_name_H-M_alt 'F m -3 m'
_space_group_IT_number 225
_space_group_name_Hall '-F 4 2 3'
_cell_length_a 7.270
_cell_length_b 7.270
_cell_length_c 7.270
_cell_angle_alpha 90.00
_cell_angle_beta 90.00
_cell_angle_gamma 90.00
loop_
_atom_site_label
_atom_site_fract_x
_atom_site_fract_y
_atom_site_fract_z
_atom_site_occupancy
In1 0.000 0.000 0.000 1
Co1 0.000 0.000 0.500 1
Co2 0.000 0.250 0.250 1
```

=====

> Look up the energy of formation from the pure elements of the first one.

427 meV per atom